Entry 1:
This record from Alexandria describes crystalline CsLiTlSiBr at its relaxed geometry. The functional is PBE.

Cell: 4.0124 4.1478 9.5869 Å, 90.00 102.03 90.00°
Closest atoms and distances in Å follow each position.
Space group Pm (No. 6)
Inequivalent atoms, fractional coordinates:
Cs (0.0000, 0.0000, 0.0000) x1  4 Br 3.58-3.59, 2 Si 3.97-3.99, 2 Tl 3.99, 2 Cs 4.01
Li (0.3015, 0.0000, 0.5995) x1  2 Br 2.64
Tl (0.1870, 0.5000, 0.3633) x1  4 Si 2.88-2.89, 2 Li 3.03
Si (0.6877, 0.0000, 0.3668) x1  4 Tl 2.88-2.89, 2 Li 2.96-2.97
Br (0.3871, 0.5000, 0.7731) x1  2 Li 2.64

Properties
Magnetization = 0.000 Bohr magnetons per cell
Distance to the lowest polymorph of the same formula = 77 meV/atom

Entry 2:
This record from Alexandria describes crystalline Nd4Y7Er at its relaxed geometry. The functional is PBE.

Cell: 6.5931 6.8826 9.1599 Å, 85.33 77.18 81.81°
Closest atoms and distances in Å follow each position.
Space group P-1 (No. 2)
Inequivalent atoms, fractional coordinates:
Nd (0.1431, 0.3160, 0.2829) x2  8 Y 3.37-3.71, 1 Er 3.39, 2 Nd 3.55-3.57
Nd (0.3363, 0.8809, 0.6951) x2  7 Y 3.41-3.73, 2 Nd 3.55-3.57
Y (0.0086, 0.2529, 0.9522) x2  5 Y 3.41-3.56, 4 Nd 3.42-3.73, 1 Er 3.49
Y (0.1766, 0.8083, 0.3610) x2  5 Y 3.43-3.77, 4 Nd 3.49-3.58
Y (0.3153, 0.3916, 0.6201) x2  5 Y 3.34-3.72, 5 Nd 3.37-3.72
Y (0.5000, 0.0000, 0.0000) x1  4 Nd 3.41-3.71, 2 Er 3.44, 4 Y 3.55-3.77
Er (0.5000, 0.5000, 0.0000) x1  2 Nd 3.39, 4 Y 3.44-3.49

Properties
Magnetization = 0.005 Bohr magnetons per cell
Energy of formation = 84 meV/atom
Distance to the lowest polymorph of the same formula = 0 meV/atom

Entry 3:
This record from Alexandria describes crystalline SrAlCdHg2 at its relaxed geometry. The functional is PBE.

Cell: 4.5298 4.5298 12.6537 Å, 90.00 90.00 90.00°
Closest atoms and distances in Å follow each position.
Space group I-4m2 (No. 119)
Inequivalent atoms, fractional coordinates:
Sr (0.0000, 0.0000, 0.0000) x2  8 Hg 3.51, 4 Cd 3.89, 4 Al 3.89
Al (0.0000, 0.5000, 0.2500) x2  4 Hg 2.85
Cd (0.0000, 0.5000, 0.7500) x2  4 Hg 2.85
Hg (0.0000, 0.0000, 0.3865) x4  2 Cd 2.85, 2 Al 2.85, 1 Hg 2.87

Properties
Magnetization = 0.000 Bohr magnetons per cell
Energy of formation = -270 meV/atom
Distance to the lowest polymorph of the same formula = 0 meV/atom

Entry 4:
This record from Alexandria describes crystalline HoTh2Sc3 at its relaxed geometry. The functional is PBE.

Cell: 3.4731 17.4896 11.1509 Å, 90.00 90.00 90.00°
Closest atoms and distances in Å follow each position.
Space group Cmcm (No. 63)
Inequivalent atoms, fractional coordinates:
Ho (0.0000, 0.2222, 0.2500) x4  8 Sc 3.33-3.48, 2 Th 3.40, 2 Ho 3.47
Th (0.0000, 0.0000, 0.0000) x4  6 Sc 3.40, 6 Th 3.42-3.47
Th (0.0000, 0.4450, 0.7500) x4  4 Sc 3.38-3.47, 2 Ho 3.40, 6 Th 3.42-3.47
Sc (0.0000, 0.1108, 0.7500) x4  6 Sc 3.37-3.47, 4 Th 3.38-3.40, 2 Ho 3.40
Sc (0.0000, 0.3329, 0.0067) x8  3 Ho 3.33-3.48, 6 Sc 3.37-3.47, 3 Th 3.40-3.47

Properties
Magnetization = 0.000 Bohr magnetons per cell
Energy of formation = 48 meV/atom
Distance to the lowest polymorph of the same formula = 19 meV/atom

Entry 5:
This record from Alexandria describes crystalline BaNd2In at its relaxed geometry. The functional is PBE.

Cell: 3.7939 3.7939 10.3248 Å, 90.00 90.00 90.00°
Closest atoms and distances in Å follow each position.
Space group P4/mmm (No. 123)
Inequivalent atoms, fractional coordinates:
Ba (0.0000, 0.0000, 0.0000) x1  4 Ba 3.79, 8 Nd 4.14
Nd (0.5000, 0.5000, 0.3049) x2  4 In 3.35
In (0.0000, 0.0000, 0.5000) x1  8 Nd 3.35

Properties
Magnetization = 0.000 Bohr magnetons per cell
Energy of formation = -123 meV/atom
Distance to the lowest polymorph of the same formula = 0 meV/atom

Entry 6:
This record from Alexandria describes crystalline NpMnCl6 at its relaxed geometry. The functional is PBE.

Cell: 6.3984 12.5412 6.3937 Å, 90.00 107.35 90.00°
Closest atoms and distances in Å follow each position.
Space group C2/m (No. 12)
Inequivalent atoms, fractional coordinates:
Np (0.0000, 0.0000, 0.0000) x2  6 Cl 2.60-2.64
Mn (0.0000, 0.5000, 0.5000) x2  6 Cl 2.51-2.55
Cl (0.2369, 0.3606, 0.7397) x8  1 Mn 2.51, 1 Np 2.64
Cl (0.2504, 0.0000, 0.7456) x4  1 Mn 2.55, 1 Np 2.60

Properties
Magnetization = 16.000 Bohr magnetons per cell
Distance to the lowest polymorph of the same formula = 0 meV/atom

Entry 7:
This record from Alexandria describes crystalline Cu5GeAu8 at its relaxed geometry. The functional is PBE.

Cell: 7.6958 7.6958 7.9165 Å, 90.00 90.00 90.00°
Closest atoms and distances in Å follow each position.
Space group I-4 (No. 82)
Inequivalent atoms, fractional coordinates:
Cu (0.0000, 0.0000, 0.0000) x2  8 Au 2.60-2.65
Cu (0.1183, 0.2168, 0.5926) x8  8 Au 2.62-2.79
Ge (0.0000, 0.5000, 0.2500) x2  4 Au 2.60
Au (0.0694, 0.3277, 0.9201) x8  5 Cu 2.65-2.79, 2 Au 2.86-2.87
Au (0.0941, 0.1756, 0.2651) x8  5 Cu 2.60-2.73, 1 Ge 2.60, 1 Au 2.87

Properties
Magnetization = 0.000 Bohr magnetons per cell
Energy of formation = 69 meV/atom

Entry 8:
This record from Alexandria describes crystalline Nd2NiAs3Pd4 at its relaxed geometry. The functional is PBE.

Cell: 4.3147 4.3147 10.1565 Å, 90.00 90.00 90.00°
Closest atoms and distances in Å follow each position.
Space group P-4m2 (No. 115)
Inequivalent atoms, fractional coordinates:
Nd (0.0000, 0.5000, 0.2460) x2  6 As 3.27-3.30, 8 Pd 3.30-3.36, 2 Ni 3.30
Ni (0.5000, 0.5000, 0.0000) x1  4 Pd 2.49
As (0.0000, 0.0000, 0.0000) x1  4 Pd 2.49
As (0.0000, 0.5000, 0.6374) x2  5 Pd 2.44-2.57
Pd (0.0000, 0.0000, 0.5000) x1  4 As 2.57
Pd (0.0000, 0.5000, 0.8776) x2  3 As 2.44-2.49, 2 Ni 2.49
Pd (0.5000, 0.5000, 0.5000) x1  4 As 2.57

Properties
Magnetization = 0.000 Bohr magnetons per cell
Energy of formation = -773 meV/atom